[1]
# PBE MgBi2Pd2, optimized geometry
data_MgBi2Pd2
_chemical_formula_sum 'Mg2 Bi4 Pd4'
_space_group_name_H-M_alt 'I 4/m m m'
_space_group_IT_number 139
_space_group_name_Hall '-I 4 2'
_cell_length_a 3.9316
_cell_length_b 3.9316
_cell_length_c 15.4902
_cell_angle_alpha 90.00
_cell_angle_beta 90.00
_cell_angle_gamma 90.00
loop_
_atom_site_label
_atom_site_fract_x
_atom_site_fract_y
_atom_site_fract_z
Mg1 0.0000 0.0000 0.0000
Bi1 0.0000 0.0000 0.3822
Pd1 0.0000 0.5000 0.2500
# E above lowest polymorph ... 213.7 meV per atom
# Formation energy ... -0.1014 eV/atom

=====

[2]
# PBE La2TlGe, optimized geometry
data_La2TlGe
_chemical_formula_sum 'La2 Tl1 Ge1'
_space_group_name_H-M_alt 'P 4/m m m'
_space_group_IT_number 123
_space_group_name_Hall '-P 4 2'
_cell_length_a 4.0069
_cell_length_b 4.0069
_cell_length_c 7.1412
_cell_angle_alpha 90.00
_cell_angle_beta 90.00
_cell_angle_gamma 90.00
loop_
_atom_site_label
_atom_site_fract_x
_atom_site_fract_y
_atom_site_fract_z
La1 0.0000 0.0000 0.2167
Tl1 0.5000 0.5000 0.5000
Ge1 0.5000 0.5000 0.0000
# Formation energy ... -0.5893 eV/atom

=====

[3]
# PBE Hf2SiGe, optimized geometry
data_Hf2SiGe
_chemical_formula_sum 'Hf8 Si4 Ge4'
_space_group_name_H-M_alt 'F m -3 m'
_space_group_IT_number 225
_space_group_name_Hall '-F 4 2 3'
_cell_length_a 6.6345
_cell_length_b 6.6345
_cell_length_c 6.6345
_cell_angle_alpha 90.00
_cell_angle_beta 90.00
_cell_angle_gamma 90.00
loop_
_atom_site_label
_atom_site_fract_x
_atom_site_fract_y
_atom_site_fract_z
Hf1 0.2500 0.2500 0.2500
Si1 0.0000 0.0000 0.0000
Ge1 0.0000 0.0000 0.5000
# Formation energy from raw total energies ... -0.259 eV per atom
# E above lowest polymorph ... 453.1 meV per atom

=====

[4]
# PBE CdSiNF2, optimized geometry
data_CdSiNF2
_chemical_formula_sum 'Cd1 Si1 N1 F2'
_space_group_name_H-M_alt 'P 4/m m m'
_space_group_IT_number 123
_space_group_name_Hall '-P 4 2'
_cell_length_a 4.4039
_cell_length_b 4.4039
_cell_length_c 3.2360
_cell_angle_alpha 90.00
_cell_angle_beta 90.00
_cell_angle_gamma 90.00
loop_
_atom_site_label
_atom_site_fract_x
_atom_site_fract_y
_atom_site_fract_z
Cd1 0.0000 0.0000 0.0000
Si1 0.5000 0.5000 0.5000
N1 0.5000 0.5000 0.0000
F1 0.0000 0.5000 0.5000
# Formation energy from raw total energies ... -1.016 eV per atom
# E above lowest polymorph ... 0.0 meV per atom

=====

[5]
# PBE Te2IrCl, optimized geometry
data_Te2IrCl
_chemical_formula_sum 'Te6 Ir3 Cl3'
_space_group_name_H-M_alt 'R 3 m'
_space_group_IT_number 160
_space_group_name_Hall 'R 3 -2"'
_cell_length_a 3.6913
_cell_length_b 3.6913
_cell_length_c 28.1590
_cell_angle_alpha 90.00
_cell_angle_beta 90.00
_cell_angle_gamma 120.00
loop_
_atom_site_label
_atom_site_fract_x
_atom_site_fract_y
_atom_site_fract_z
Te1 0.0000 0.0000 0.0000
Te2 0.0000 0.0000 0.2353
Ir1 0.0000 0.0000 0.5190
Cl1 0.0000 0.0000 0.7988
# Formation energy from raw total energies ... 0.014 eV per atom
# E above lowest polymorph ... 352.7 meV per atom

=====

[6]
# PBE Na6H5Cl, optimized geometry
data_Na6H5Cl
_chemical_formula_sum 'Na12 H10 Cl2'
_space_group_name_H-M_alt 'C 1 2/m 1'
_space_group_IT_number 12
_space_group_name_Hall '-C 2y'
_cell_length_a 6.1424
_cell_length_b 10.6577
_cell_length_c 6.1042
_cell_angle_alpha 90.00
_cell_angle_beta 109.37
_cell_angle_gamma 90.00
loop_
_atom_site_label
_atom_site_fract_x
_atom_site_fract_y
_atom_site_fract_z
Na1 0.2315 0.0000 0.2707
Na2 0.2315 0.1808 0.7446
H1 0.0000 0.0000 0.5000
H2 0.0000 0.1667 0.0000
H3 0.0000 0.3300 0.5000
Cl1 0.0000 0.5000 0.0000
# E_tot ... -2.65 eV per atom